No. 1
Below is a geometry-optimized TbReAsO structure, with properties calculated at the GGA-PBE level.

Cell lengths 4.1416, 6.1910, 5.6344 Å; angles 90.00, 90.00, 90.00 degrees
Last column: nearest neighbours and their distance in Å.
Sites, in units of the cell vectors:
As: 0.0000 0.1837 0.3649  4 Re 2.67-2.85, 1 Tb 2.88
As: 0.0000 0.8163 0.8649  4 Re 2.67-2.85, 1 Tb 2.88
Re: 0.5000 0.0387 0.6180  2 O 2.09-2.12
Tb: 0.0000 0.6777 0.3532  2 O 2.16
O: 0.5000 0.2455 0.9179  2 Re 2.09-2.12, 2 Tb 2.16
O: 0.5000 0.7545 0.4179  2 Re 2.09-2.12, 2 Tb 2.16
Tb: 0.0000 0.3223 0.8532  2 O 2.16
Re: 0.5000 0.9613 0.1180  2 O 2.09-2.12

No. 2
Below is a geometry-optimized TbReAsO structure, with properties calculated at the GGA-PBE level.

Cell lengths 4.3179, 4.3179, 6.8431 Å; angles 90.00, 90.00, 90.00 degrees
Last column: nearest neighbours and their distance in Å.
Sites, in units of the cell vectors:
As: 0.0000 0.5000 0.2200  1 Re 2.45, 4 O 2.63
O: 0.5000 0.5000 0.0000  4 Re 2.36, 4 As 2.63
O: 0.0000 0.0000 0.0000  4 Re 2.36, 4 As 2.63
Tb: 0.5000 0.5000 0.5000  4 As 2.89, 4 Tb 3.05
Tb: 0.0000 0.0000 0.5000  4 As 2.89, 4 Tb 3.05
As: 0.5000 0.0000 0.7800  1 Re 2.45, 4 O 2.63
Re: 0.0000 0.5000 0.8620  4 O 2.36, 1 As 2.45
Re: 0.5000 0.0000 0.1380  4 O 2.36, 1 As 2.45

No. 3
Below is a geometry-optimized TbReAsO structure, with properties calculated at the GGA-PBE level.

Cell lengths 4.3085, 4.3085, 6.8494 Å; angles 90.00, 90.00, 90.00 degrees
Last column: nearest neighbours and their distance in Å.
Sites, in units of the cell vectors:
O: 0.2500 0.7500 0.0000  4 Re 2.35, 4 As 2.63
As: 0.2500 0.2500 0.7803  1 Re 2.45, 4 O 2.63
O: 0.7500 0.2500 0.0000  4 Re 2.35, 4 As 2.63
As: 0.7500 0.7500 0.2197  1 Re 2.45, 4 O 2.63
Tb: 0.2500 0.7500 0.5000  4 As 2.89, 4 Tb 3.05
Tb: 0.7500 0.2500 0.5000  4 As 2.89, 4 Tb 3.05
Re: 0.7500 0.7500 0.8627  4 O 2.35, 1 As 2.45
Re: 0.2500 0.2500 0.1373  4 O 2.35, 1 As 2.45

No. 4
Below is a geometry-optimized YReAsO structure, with properties calculated at the GGA-PBE level.

Cell lengths 4.3403, 4.3403, 6.7584 Å; angles 90.00, 90.00, 90.00 degrees
Last column: nearest neighbours and their distance in Å.
Sites, in units of the cell vectors:
Y: 0.7500 0.2500 0.5000  4 As 2.88, 4 Y 3.07
O: 0.2500 0.7500 0.0000  4 Re 2.37, 4 As 2.63
As: 0.7500 0.7500 0.2207  1 Re 2.45, 4 O 2.63
As: 0.2500 0.2500 0.7793  1 Re 2.45, 4 O 2.63
Re: 0.7500 0.7500 0.8589  4 O 2.37, 1 As 2.45
Re: 0.2500 0.2500 0.1411  4 O 2.37, 1 As 2.45
Y: 0.2500 0.7500 0.5000  4 As 2.88, 4 Y 3.07
O: 0.7500 0.2500 0.0000  4 Re 2.37, 4 As 2.63

No. 5
Below is a geometry-optimized YReAsO structure, with properties calculated at the GGA-PBE level.

Cell lengths 4.0525, 4.5315, 7.1120 Å; angles 90.00, 90.00, 90.00 degrees
Last column: nearest neighbours and their distance in Å.
Sites, in units of the cell vectors:
O: 0.5000 0.6919 0.9364  2 Re 2.03
As: 0.0000 0.1972 0.7817  3 Re 2.50-2.53
Re: 0.0000 0.3048 0.4376  2 O 2.03
As: 0.0000 0.8028 0.2817  3 Re 2.50-2.53
O: 0.5000 0.3081 0.4364  2 Re 2.03
Y: 0.5000 0.7830 0.5983  3 O 2.44-2.64
Y: 0.5000 0.2170 0.0983  3 O 2.44-2.64
Re: 0.0000 0.6952 0.9376  2 O 2.03

No. 6
Below is a geometry-optimized YReAsO structure, with properties calculated at the GGA-PBE level.

Cell lengths 4.1381, 6.1836, 5.6110 Å; angles 90.00, 90.00, 90.00 degrees
Last column: nearest neighbours and their distance in Å.
Sites, in units of the cell vectors:
As: 0.0000 0.6847 0.3653  4 Re 2.67-2.84, 1 Y 2.87
O: 0.5000 0.2515 0.4160  2 Re 2.11, 2 Y 2.15
Re: 0.5000 0.4621 0.1191  2 O 2.11
O: 0.5000 0.7485 0.9160  2 Re 2.11, 2 Y 2.15
Y: 0.0000 0.8212 0.8536  2 O 2.15
Y: 0.0000 0.1788 0.3536  2 O 2.15
Re: 0.5000 0.5379 0.6191  2 O 2.11
As: 0.0000 0.3153 0.8653  4 Re 2.67-2.84, 1 Y 2.87

No. 7
Below is a geometry-optimized YReAsO structure, with properties calculated at the GGA-PBE level.

Cell lengths 3.9578, 3.9578, 8.5309 Å; angles 90.00, 90.00, 90.00 degrees
Last column: nearest neighbours and their distance in Å.
Sites, in units of the cell vectors:
Re: 0.7500 0.2500 0.5000  4 As 2.52, 4 Re 2.80
As: 0.7500 0.7500 0.3170  4 Re 2.52
O: 0.7500 0.2500 0.0000  4 Y 2.26
Y: 0.2500 0.2500 0.1287  4 O 2.26
O: 0.2500 0.7500 0.0000  4 Y 2.26
Re: 0.2500 0.7500 0.5000  4 As 2.52, 4 Re 2.80
Y: 0.7500 0.7500 0.8713  4 O 2.26
As: 0.2500 0.2500 0.6830  4 Re 2.52

No. 8
Below is a geometry-optimized TaSbAsO structure, with properties calculated at the GGA-PBE level.

Cell lengths 3.4530, 7.1571, 7.2472 Å; angles 90.00, 90.00, 90.00 degrees
Last column: nearest neighbours and their distance in Å.
Sites, in units of the cell vectors:
As: 0.0000 0.6884 0.9311  2 Ta 2.60, 1 Sb 2.63
Ta: 0.5000 0.0491 0.4974  2 O 1.89-1.99
Ta: 0.5000 0.9509 0.9974  2 O 1.89-1.99
As: 0.0000 0.3116 0.4311  2 Ta 2.60, 1 Sb 2.63
Sb: 0.0000 0.7146 0.5692  1 As 2.63
Sb: 0.0000 0.2854 0.0692  1 As 2.63
O: 0.5000 0.9158 0.2562  2 Ta 1.89-1.99
O: 0.5000 0.0842 0.7562  2 Ta 1.89-1.99

No. 9
Below is a geometry-optimized TaSbAsO structure, with properties calculated at the GGA-PBE level.

Cell lengths 3.4904, 7.6170, 6.3425 Å; angles 90.00, 90.00, 90.00 degrees
Last column: nearest neighbours and their distance in Å.
Sites, in units of the cell vectors:
O: 0.5000 0.2136 0.4035  2 Ta 1.94
Ta: 0.0000 0.2157 0.5354  2 O 1.94
Sb: 0.5000 0.3924 0.8863  2 As 2.71, 1 O 3.00
Ta: 0.0000 0.7843 0.0354  2 O 1.94
As: 0.0000 0.8774 0.4288  2 Ta 2.59-2.66, 2 Sb 2.71
Sb: 0.5000 0.6076 0.3863  2 As 2.71, 1 O 3.00
As: 0.0000 0.1226 0.9288  2 Ta 2.59-2.66, 2 Sb 2.71
O: 0.5000 0.7864 0.9035  2 Ta 1.94

No. 10
Below is a geometry-optimized TaSbAsO structure, with properties calculated at the GGA-PBE level.

Cell lengths 3.8569, 3.8569, 10.0410 Å; angles 90.00, 90.00, 90.00 degrees
Last column: nearest neighbours and their distance in Å.
Sites, in units of the cell vectors:
O: 0.0000 0.0000 0.0000  4 Ta 2.15
Sb: 0.0000 0.0000 0.5000  4 Sb 2.73
O: 0.5000 0.5000 0.0000  4 Ta 2.15
Sb: 0.5000 0.5000 0.5000  4 Sb 2.73
Ta: 0.0000 0.5000 0.0948  4 O 2.15
As: 0.5000 0.0000 0.2282  4 O 2.99, 5 Ta 3.04-3.24, 4 Sb 3.34
As: 0.0000 0.5000 0.7718  4 O 2.99, 5 Ta 3.04-3.24, 4 Sb 3.34
Ta: 0.5000 0.0000 0.9052  4 O 2.15

No. 11
Below is a geometry-optimized TaSbAsO structure, with properties calculated at the GGA-PBE level.

Cell lengths 3.8801, 3.8801, 9.5345 Å; angles 90.00, 90.00, 90.00 degrees
Last column: nearest neighbours and their distance in Å.
Sites, in units of the cell vectors:
O: 0.0000 0.0000 0.0000  4 Sb 2.29
Ta: 0.5000 0.5000 0.5000  4 As 2.71, 4 Ta 2.74
Sb: 0.5000 0.0000 0.1273  4 O 2.29
As: 0.0000 0.5000 0.3018  4 Ta 2.71
Ta: 0.0000 0.0000 0.5000  4 As 2.71, 4 Ta 2.74
O: 0.5000 0.5000 0.0000  4 Sb 2.29
Sb: 0.0000 0.5000 0.8727  4 O 2.29
As: 0.5000 0.0000 0.6982  4 Ta 2.71

No. 12
Below is a geometry-optimized TbSbAsO structure, with properties calculated at the GGA-PBE level.

Cell lengths 4.7903, 4.7903, 7.3613 Å; angles 90.00, 90.00, 90.00 degrees
Last column: nearest neighbours and their distance in Å.
Sites, in units of the cell vectors:
Tb: 0.0000 0.0000 0.5000  4 As 2.80
Tb: 0.5000 0.5000 0.5000  4 As 2.80
Sb: 0.5000 0.0000 0.0688  4 O 2.45, 1 As 2.73
O: 0.5000 0.5000 0.0000  4 Sb 2.45
As: 0.5000 0.0000 0.6982  1 Sb 2.73, 4 Tb 2.80
Sb: 0.0000 0.5000 0.9312  4 O 2.45, 1 As 2.73
As: 0.0000 0.5000 0.3018  1 Sb 2.73, 4 Tb 2.80
O: 0.0000 0.0000 0.0000  4 Sb 2.45

What did we get for magnetization? Answer: 0.0; 0.0; 0.0; 0.0; 0.0; 0.0; 0.0; 0.0; 0.0; 0.1; 0.0; 0.0 μB/f.u., in the order shown.
What did we get for energy above the most stable polymorph in this dataset? Answer: 591; 1695; 1696; 1656; 492; 573; 0; 0; 197; 486; 424; 722 meV per atom, in the order shown.